YSiNi2, optimized geometry, DFT PBEsol; formation energy (no corrections) = -16.89 kcal/mol of atoms; SG = R-3m (166); V = 15.54 Å³/atom
1.0
1.968 1.136 4.630
-1.968 1.136 4.630
0.000 -2.273 4.630
Y Si Ni
1 1 2
direct
0.000 0.000 0.000 Y
0.500 0.500 0.500 Si
0.200 0.200 0.200 Ni
0.800 0.800 0.800 Ni

***

YSi2Ni, optimized geometry, DFT PBEsol; formation energy (no corrections) = -19.77 kcal/mol of atoms; SG = R-3m (166); V = 16.08 Å³/atom
1.0
1.925 1.111 5.010
-1.925 1.111 5.010
0.000 -2.223 5.010
Y Si Ni
1 2 1
direct
0.000 0.000 0.000 Y
0.211 0.211 0.211 Si
0.789 0.789 0.789 Si
0.500 0.500 0.500 Ni

***

YSi3Ni, optimized geometry, DFT PBEsol; formation energy (no corrections) = -18.04 kcal/mol of atoms; SG = Cmmm (65); V = 15.93 Å³/atom
1.0
1.949 -10.442 0.000
1.949 10.442 0.000
0.000 0.000 3.914
Y Si Ni
2 6 2
direct
0.169 0.831 0.000 Y
0.831 0.169 0.000 Y
0.056 0.944 0.500 Si
0.282 0.718 0.500 Si
0.444 0.556 0.000 Si
0.556 0.444 0.000 Si
0.718 0.282 0.500 Si
0.944 0.056 0.500 Si
0.390 0.610 0.500 Ni
0.610 0.390 0.500 Ni

***

YSi2Ni, optimized geometry, DFT PBEsol; formation energy (no corrections) = -9.93 kcal/mol of atoms; SG = I-42d (122); V = 18.92 Å³/atom
1.0
-2.242 2.242 7.528
2.242 -2.242 7.528
2.242 2.242 -7.528
Y Si Ni
2 4 2
direct
0.000 0.000 0.000 Y
0.750 0.250 0.500 Y
0.306 0.625 0.181 Si
0.375 0.556 0.681 Si
0.444 0.125 0.819 Si
0.875 0.694 0.319 Si
0.250 0.750 0.500 Ni
0.500 0.500 0.000 Ni

***

Record order is preserved below.
Final energy: -6.953 -6.976 -6.826 -6.549 eV per atom